KRu2Br | Alexandria | SCAN | single point on PBEsol structure; volume = 25.24 Å³/atom; theoretical density = 5.3 g/cm3; energy above the most stable polymorph in this dataset = 406 meV per atom
1.0
-0.175 -0.644 -3.379
5.993 -0.302 -0.252
-3.112 -4.315 2.739
Br K Ru
1 1 2
direct
0.439 0.439 0.879
0.243 0.743 0.485
0.079 0.079 0.158
0.739 0.239 0.478

---

ScCI2O | Alexandria | SCAN | single point on PBEsol structure; volume = 25.05 Å³/atom; theoretical density = 4.3 g/cm3; energy above the most stable polymorph in this dataset = 0 meV per atom
1.0
3.814 0.000 0.000
0.000 5.730 0.000
0.000 0.000 5.730
I Sc C O
2 1 1 1
direct
0.000 0.000 0.500
0.000 0.500 0.000
0.000 0.000 0.000
0.500 0.500 0.500
0.500 0.000 0.000

---

MgCdSb | Alexandria | SCAN | single point on PBEsol structure; volume = 23.21 Å³/atom; theoretical density = 6.2 g/cm3; energy above the most stable polymorph in this dataset = 45 meV per atom
1.0
3.288 -0.010 0.000
-0.183 3.283 0.000
-1.552 -1.636 6.454
Sb Mg Cd
1 1 1
direct
0.327 0.327 0.655
0.664 0.664 0.327
0.009 0.009 0.018

---

MgPt2W | Alexandria | SCAN | single point on PBEsol structure; volume = 15.44 Å³/atom; theoretical density = 16.1 g/cm3; energy relative to the elements = -490 meV per atom
1.0
-2.564 1.032 -0.060
0.061 -0.128 -4.812
-0.460 -4.802 0.750
Mg Pt W
1 2 1
direct
0.257 0.794 0.514
0.003 0.958 0.007
0.749 0.292 0.498
0.491 0.456 0.981

---

BeTcIr | Alexandria | SCAN | single point on PBEsol structure; volume = 11.85 Å³/atom; theoretical density = 14.0 g/cm3; energy relative to the elements = -463 meV per atom
1.0
2.746 0.000 0.000
0.000 2.746 0.000
-1.373 -1.373 4.716
Be Ir Tc
1 1 1
direct
0.006 0.006 0.011
0.651 0.651 0.303
0.343 0.343 0.686

---

CeThN2 | Alexandria | SCAN | single point on PBEsol structure; volume = 16.24 Å³/atom; theoretical density = 10.2 g/cm3; E = -41.49 eV/atom
1.0
-3.506 -0.518 -0.539
-2.201 -0.421 2.798
-2.782 5.455 0.929
Th Ce N
1 1 2
direct
0.500 0.500 0.500
0.000 0.000 0.000
0.251 0.251 0.246
0.749 0.749 0.754

---

Eu2TiNbO6 | Alexandria | SCAN | single point on PBEsol structure; volume = 12.42 Å³/atom; theoretical density = 7.2 g/cm3; E = -22.61 eV/atom
1.0
5.600 0.000 0.000
2.800 4.849 0.000
2.800 1.616 4.572
Eu Nb O Ti
2 1 6 1
direct
0.250 0.250 0.250
0.750 0.750 0.750
0.500 0.500 0.500
0.247 0.753 0.247
0.247 0.753 0.753
0.753 0.247 0.247
0.753 0.753 0.247
0.753 0.247 0.753
0.247 0.247 0.753
0.000 0.000 0.000

---

Ba2RePb | Alexandria | SCAN | single point on PBEsol structure; volume = 30.27 Å³/atom; theoretical density = 9.2 g/cm3; energy relative to the elements = 748 meV per atom
1.0
4.993 0.000 0.000
0.000 4.993 0.000
-2.497 -2.497 4.857
Pb Re Ba
1 1 2
direct
0.500 0.500 0.000
0.000 0.000 0.000
0.750 0.250 0.500
0.250 0.750 0.500

---

RbWSe2 | Alexandria | SCAN | single point on PBEsol structure; volume = 22.70 Å³/atom; theoretical density = 7.8 g/cm3; E = -32.08 eV/atom
1.0
-1.915 -0.024 -2.597
-2.966 -1.256 0.194
-5.276 8.593 1.806
Se Rb W
2 1 1
direct
0.922 0.922 0.235
0.078 0.078 0.765
0.500 0.500 0.500
0.000 0.000 0.000

---

ScSiPb2 | Alexandria | SCAN | single point on PBEsol structure; volume = 23.36 Å³/atom; theoretical density = 8.7 g/cm3; E = -43.88 eV/atom
1.0
-0.535 0.024 -3.376
-0.117 -5.174 -0.018
-5.215 0.115 0.828
Pb Sc Si
2 1 1
direct
0.000 0.000 0.000
0.500 0.000 0.500
0.500 0.500 0.000
0.000 0.500 0.500

---

Mg2SiAu | Alexandria | SCAN | single point on PBEsol structure; volume = 17.19 Å³/atom; theoretical density = 6.6 g/cm3; E = -22.58 eV/atom
1.0
-2.738 -3.089 0.973
4.463 -1.444 -1.266
2.519 -1.231 3.182
Au Mg Si
1 2 1
direct
0.500 0.000 0.500
0.250 0.500 0.250
0.750 0.500 0.750
0.000 0.000 0.000

---

Li9Ti5Si2O16 | Alexandria | SCAN | single point on PBEsol structure; volume = 8.48 Å³/atom; theoretical density = 3.8 g/cm3; E = -9.69 eV/atom
1.0
-2.523 -0.049 -4.241
-2.191 -4.625 0.358
-9.572 2.842 4.721
Li Ti Si O
9 5 2 16
direct
0.743 0.920 0.561
0.245 0.812 0.677
0.750 0.671 0.810
0.253 0.561 0.940
0.747 0.439 0.060
0.250 0.329 0.190
0.755 0.188 0.323
0.257 0.080 0.439
0.500 0.500 0.500
0.500 0.243 0.749
0.002 0.113 0.882
0.500 0.000 0.000
0.998 0.887 0.118
0.500 0.757 0.251
0.998 0.377 0.617
0.002 0.623 0.383
0.663 0.552 0.654
0.335 0.180 0.599
0.379 0.906 0.839
0.881 0.074 0.705
0.118 0.448 0.760
0.873 0.772 0.966
0.622 0.338 0.902
0.127 0.228 0.034
0.378 0.662 0.098
0.882 0.552 0.240
0.621 0.094 0.161
0.337 0.448 0.346
0.665 0.820 0.401
0.119 0.926 0.295
0.102 0.677 0.528
0.898 0.323 0.472

---

Sr2Co2O5 | Alexandria | SCAN | single point on PBEsol structure; volume = 11.91 Å³/atom; theoretical density = 5.8 g/cm3; E = -14.37 eV/atom
1.0
-0.669 -1.574 -3.223
1.187 -4.846 2.120
-5.195 -0.660 1.401
Sr Co O
2 2 5
direct
0.000 0.500 0.000
0.000 0.000 0.500
0.500 0.000 0.000
0.500 0.500 0.500
0.500 0.737 0.263
0.500 0.263 0.737
0.000 0.000 0.000
0.500 0.737 0.737
0.500 0.263 0.263

---

Re2HgMo | Alexandria | SCAN | single point on PBEsol structure; volume = 15.60 Å³/atom; theoretical density = 17.8 g/cm3; energy relative to the elements = 609 meV per atom
1.0
3.941 0.000 0.000
0.000 3.941 0.000
-1.970 -1.970 4.020
Hg Mo Re
1 1 2
direct
0.500 0.500 0.000
0.250 0.750 0.500
0.000 0.000 0.000
0.750 0.250 0.500

---

MnCoN2 | Alexandria | SCAN | single point on PBEsol structure; volume = 9.33 Å³/atom; theoretical density = 6.3 g/cm3; energy above the most stable polymorph in this dataset = 467 meV per atom
1.0
2.732 0.000 0.000
1.366 2.366 0.000
1.366 0.789 5.773
Mn Co N
1 1 2
direct
0.000 0.000 0.000
0.500 0.500 0.500
0.895 0.895 0.314
0.105 0.105 0.686

---

ZrAg2W | Alexandria | SCAN | single point on PBEsol structure; volume = 17.56 Å³/atom; theoretical density = 11.6 g/cm3; energy relative to the elements = 584 meV per atom
1.0
3.564 0.000 0.000
0.000 3.564 0.000
0.000 0.000 5.527
Ag W Zr
2 1 1
direct
0.000 0.000 0.757
0.000 0.000 0.243
0.500 0.500 0.000
0.500 0.500 0.500

---

Ti2Al2Au | Alexandria | SCAN | single point on PBEsol structure; volume = 17.57 Å³/atom; theoretical density = 6.6 g/cm3; energy relative to the elements = 25 meV per atom; energy above the most stable polymorph in this dataset = 591 meV per atom
1.0
-3.147 -0.705 1.541
-0.592 -2.588 -2.393
4.923 -2.899 4.586
Au Al Ti
1 2 2
direct
0.000 0.000 0.000
0.250 0.750 0.500
0.750 0.250 0.500
0.408 0.408 0.815
0.592 0.592 0.185

---

FeReRh2 | Alexandria | SCAN | single point on PBEsol structure; volume = 13.20 Å³/atom; theoretical density = 14.1 g/cm3; energy relative to the elements = -149 meV per atom; energy above the most stable polymorph in this dataset = 1 meV per atom
1.0
-2.403 -0.808 -0.850
1.166 -3.556 0.081
-1.628 -0.420 5.001
Re Rh Fe
1 2 1
direct
0.500 0.500 0.500
0.000 0.000 0.753
0.000 0.000 0.247
0.500 0.500 0.000

---

Ba2MnTcHg | Alexandria | SCAN | single point on PBEsol structure; volume = 39.67 Å³/atom; theoretical density = 5.3 g/cm3; energy relative to the elements = 795 meV per atom
1.0
-3.286 -3.252 2.055
0.384 -3.611 -5.101
4.746 -3.157 2.593
Tc Mn Hg Ba
1 1 1 2
direct
0.500 0.000 0.000
0.500 0.500 0.500
0.000 0.000 0.000
0.000 0.000 0.500
0.000 0.500 0.000

---

BeAgRuS2 | Alexandria | SCAN | single point on PBEsol structure; volume = 20.71 Å³/atom; theoretical density = 4.5 g/cm3; E = -16.33 eV/atom
1.0
-3.060 1.339 -3.125
-2.978 -3.084 1.595
-1.775 3.356 3.176
Ru S Ag Be
1 2 1 1
direct
0.000 0.000 0.500
0.000 0.500 0.000
0.500 0.000 0.000
0.000 0.000 0.000
0.500 0.500 0.500